This record from Alexandria via LeMat-Bulk describes a relaxed structure of KSb2AuI. The functional is PBE-GGA.

Properties
The energy above the lowest structure with this stoichiometry comes out at 0 kJ/mol of formula units. The value obtained for the density is 4.46 g cm⁻³. The value obtained for the energy relative to the elements, uncorrected is 0.00 eV per atom. The density of states at the Fermi level is 4.081 states/eV/f.u.

Unit cell a=5.259 b=5.259 c=8.158 alpha=90.00 beta=90.00 gamma=90.00
Space group P4/mmm (No. 123)
One atom of each set of equivalent atoms:
K: 0.000 0.000 0.000 (multiplicity 1)
Sb: 0.000 0.500 0.500 (multiplicity 2)
Au: 0.500 0.500 0.500 (multiplicity 1)
I: 0.500 0.500 0.000 (multiplicity 1)